#1
First-principles (PBE-GGA) data for an optimized crystal structure of SnSb2C, as listed in Alexandria.

a = 4.9901 Å, b = 4.9901 Å, c = 4.9901 Å
α = 60.00°, β = 60.00°, γ = 60.00°
Atoms (fractional coordinates):
Sn1 0.0000 0.0000 0.0000
Sb1 0.2500 0.2500 0.2500
Sb2 0.7500 0.7500 0.7500
C1 0.5000 0.5000 0.5000

Summary:
total magnetization: 0.0 μB/cell
SG: Fm-3m (225)

#2
First-principles (PBE-GGA) data for an optimized crystal structure of SnSb2C, as listed in Alexandria.

a = 6.3542 Å, b = 6.3542 Å, c = 6.3542 Å
α = 114.67°, β = 114.67°, γ = 99.52°
Atoms (fractional coordinates):
Sn1 0.0000 0.0000 0.0000
Sn2 0.7500 0.2500 0.5000
Sb1 0.2230 0.6250 0.0980
Sb2 0.3750 0.4730 0.5980
Sb3 0.5270 0.1250 0.9020
Sb4 0.8750 0.7770 0.4020
C1 0.2500 0.7500 0.5000
C2 0.5000 0.5000 0.0000

Summary:
total magnetization: 0.0 μB/cell
SG: I-42d (122)

Question: which arrangement is favored energetically? Ranking from most to least stable: #2, #1.

#1
First-principles (PBE-GGA) data for an optimized crystal structure of SnSb2TeC, as listed in Alexandria.

a = 5.7121 Å, b = 5.7121 Å, c = 5.6713 Å
α = 90.00°, β = 90.00°, γ = 90.00°
Atoms (fractional coordinates):
Sn1 0.0000 0.0000 0.0000
Sb1 0.0000 0.5000 0.0000
Sb2 0.5000 0.0000 0.0000
Te1 0.0000 0.0000 0.5000
C1 0.5000 0.5000 0.5000

Summary:
total magnetization: 1.2 μB/cell
SG: P4/mmm (123)

#2
First-principles (PBE-GGA) data for an optimized crystal structure of SnSb2TeC, as listed in Alexandria.

a = 4.8511 Å, b = 4.8511 Å, c = 4.9463 Å
α = 90.00°, β = 90.00°, γ = 90.00°
Atoms (fractional coordinates):
Sn1 0.0000 0.0000 0.0000
Sb1 0.0000 0.5000 0.5000
Sb2 0.5000 0.0000 0.5000
Te1 0.5000 0.5000 0.0000
C1 0.5000 0.5000 0.5000

Summary:
total magnetization: 0.0 μB/cell
SG: P4/mmm (123)

Question: which arrangement is favored energetically? Ranking from most to least stable: #2, #1.

#1
First-principles (PBE-GGA) data for an optimized crystal structure of SnSbTe2C, as listed in Alexandria.

a = 4.9098 Å, b = 4.9098 Å, c = 4.8487 Å
α = 90.00°, β = 90.00°, γ = 90.00°
Atoms (fractional coordinates):
Sn1 0.0000 0.0000 0.0000
Sb1 0.5000 0.5000 0.0000
Te1 0.0000 0.5000 0.5000
Te2 0.5000 0.0000 0.5000
C1 0.5000 0.5000 0.5000

Summary:
total magnetization: 0.0 μB/cell
SG: P4/mmm (123)

#2
First-principles (PBE-GGA) data for an optimized crystal structure of SnSbTe2C, as listed in Alexandria.

a = 5.7132 Å, b = 5.7132 Å, c = 5.7475 Å
α = 90.00°, β = 90.00°, γ = 90.00°
Atoms (fractional coordinates):
Sn1 0.0000 0.0000 0.0000
Sb1 0.0000 0.0000 0.5000
Te1 0.0000 0.5000 0.0000
Te2 0.5000 0.0000 0.0000
C1 0.5000 0.5000 0.5000

Summary:
total magnetization: 0.9 μB/cell
SG: P4/mmm (123)

Question: which arrangement is favored energetically? Ranking from most to least stable: #1, #2.

#1
First-principles (PBE-GGA) data for an optimized crystal structure of SrSbC3, as listed in Alexandria.

a = 4.3489 Å, b = 4.3489 Å, c = 4.3489 Å
α = 90.00°, β = 90.00°, γ = 90.00°
Atoms (fractional coordinates):
Sr1 0.0000 0.0000 0.0000
Sb1 0.5000 0.5000 0.5000
C1 0.0000 0.5000 0.5000
C2 0.5000 0.0000 0.5000
C3 0.5000 0.5000 0.0000

Summary:
total magnetization: 0.0 μB/cell
SG: Pm-3m (221)

#2
First-principles (PBE-GGA) data for an optimized crystal structure of SrSbC3, as listed in Alexandria.

a = 4.6272 Å, b = 4.6272 Å, c = 4.6272 Å
α = 90.00°, β = 90.00°, γ = 90.00°
Atoms (fractional coordinates):
Sr1 0.0000 0.0000 0.0000
Sb1 0.5000 0.5000 0.5000
C1 0.0000 0.0000 0.5000
C2 0.0000 0.5000 0.0000
C3 0.5000 0.0000 0.0000

Summary:
total magnetization: 1.2 μB/cell
SG: Pm-3m (221)

Question: which arrangement is favored energetically? Ranking from most to least stable: #1, #2.

#1
First-principles (PBE-GGA) data for an optimized crystal structure of SrSb3C, as listed in Alexandria.

a = 4.9868 Å, b = 4.9868 Å, c = 4.9868 Å
α = 90.00°, β = 90.00°, γ = 90.00°
Atoms (fractional coordinates):
Sr1 0.0000 0.0000 0.0000
Sb1 0.0000 0.5000 0.5000
Sb2 0.5000 0.0000 0.5000
Sb3 0.5000 0.5000 0.0000
C1 0.5000 0.5000 0.5000

Summary:
total magnetization: 0.0 μB/cell
SG: Pm-3m (221)

#2
First-principles (PBE-GGA) data for an optimized crystal structure of SrSb3C, as listed in Alexandria.

a = 6.0687 Å, b = 6.0687 Å, c = 6.0687 Å
α = 90.00°, β = 90.00°, γ = 90.00°
Atoms (fractional coordinates):
Sr1 0.0000 0.0000 0.0000
Sb1 0.0000 0.0000 0.5000
Sb2 0.0000 0.5000 0.0000
Sb3 0.5000 0.0000 0.0000
C1 0.5000 0.5000 0.5000

Summary:
total magnetization: 1.3 μB/cell
SG: Pm-3m (221)

Question: which arrangement is favored energetically? Ranking from most to least stable: #1, #2.

#1
First-principles (PBE-GGA) data for an optimized crystal structure of SrSb2TeC, as listed in Alexandria.

a = 6.1715 Å, b = 6.1715 Å, c = 6.0153 Å
α = 90.00°, β = 90.00°, γ = 90.00°
Atoms (fractional coordinates):
Sr1 0.0000 0.0000 0.0000
Sb1 0.0000 0.5000 0.0000
Sb2 0.5000 0.0000 0.0000
Te1 0.0000 0.0000 0.5000
C1 0.5000 0.5000 0.5000

Summary:
total magnetization: 1.6 μB/cell
SG: P4/mmm (123)

#2
First-principles (PBE-GGA) data for an optimized crystal structure of SrSb2TeC, as listed in Alexandria.

a = 4.8338 Å, b = 4.8338 Å, c = 5.4261 Å
α = 90.00°, β = 90.00°, γ = 90.00°
Atoms (fractional coordinates):
Sr1 0.0000 0.0000 0.0000
Sb1 0.0000 0.5000 0.5000
Sb2 0.5000 0.0000 0.5000
Te1 0.5000 0.5000 0.0000
C1 0.5000 0.5000 0.5000

Summary:
total magnetization: 0.0 μB/cell
SG: P4/mmm (123)

Question: which arrangement is favored energetically? Ranking from most to least stable: #2, #1.

#1
First-principles (PBE-GGA) data for an optimized crystal structure of TaSb3C, as listed in Alexandria.

a = 4.6593 Å, b = 4.6593 Å, c = 4.6593 Å
α = 90.00°, β = 90.00°, γ = 90.00°
Atoms (fractional coordinates):
Ta1 0.0000 0.0000 0.0000
Sb1 0.0000 0.5000 0.5000
Sb2 0.5000 0.0000 0.5000
Sb3 0.5000 0.5000 0.0000
C1 0.5000 0.5000 0.5000

Summary:
total magnetization: 0.0 μB/cell
SG: Pm-3m (221)

#2
First-principles (PBE-GGA) data for an optimized crystal structure of TaSb3C, as listed in Alexandria.

a = 5.3164 Å, b = 5.3164 Å, c = 5.3164 Å
α = 90.00°, β = 90.00°, γ = 90.00°
Atoms (fractional coordinates):
Ta1 0.0000 0.0000 0.0000
Sb1 0.0000 0.0000 0.5000
Sb2 0.0000 0.5000 0.0000
Sb3 0.5000 0.0000 0.0000
C1 0.5000 0.5000 0.5000

Summary:
total magnetization: 2.1 μB/cell
SG: Pm-3m (221)

Question: which arrangement is favored energetically? Ranking from most to least stable: #1, #2.

#1
First-principles (PBE-GGA) data for an optimized crystal structure of TaSbTe2C, as listed in Alexandria.

a = 4.6527 Å, b = 4.6527 Å, c = 4.6959 Å
α = 90.00°, β = 90.00°, γ = 90.00°
Atoms (fractional coordinates):
Ta1 0.0000 0.0000 0.0000
Sb1 0.5000 0.5000 0.0000
Te1 0.0000 0.5000 0.5000
Te2 0.5000 0.0000 0.5000
C1 0.5000 0.5000 0.5000

Summary:
total magnetization: 0.6 μB/cell
SG: P4/mmm (123)

#2
First-principles (PBE-GGA) data for an optimized crystal structure of TaSbTe2C, as listed in Alexandria.

a = 5.3371 Å, b = 5.3371 Å, c = 5.4171 Å
α = 90.00°, β = 90.00°, γ = 90.00°
Atoms (fractional coordinates):
Ta1 0.0000 0.0000 0.0000
Sb1 0.0000 0.0000 0.5000
Te1 0.0000 0.5000 0.0000
Te2 0.5000 0.0000 0.0000
C1 0.5000 0.5000 0.5000

Summary:
total magnetization: 1.8 μB/cell
SG: P4/mmm (123)

Question: which arrangement is favored energetically? Ranking from most to least stable: #1, #2.